# 1
Below is a relaxed Tb3ErTm5 crystal, with properties calculated at the PBE level.

Computed properties:
calculated formation energy	541	meV per atom
spin magnetization	0.000	μB/atom
offset from the most stable computed form	409	meV/atom

Cell lengths 15.063, 11.185, 9.885 Å; angles 90.00, 130.68, 90.00 degrees
Space group C2/m (No. 12)
One atom of each set of equivalent atoms:
1 Tb 0.000 0.000 0.000 [2 per cell]
2 Tb 0.000 0.500 0.500 [2 per cell]
3 Tb 0.010 0.000 0.310 [4 per cell]
4 Tb 0.023 0.500 0.866 [4 per cell]
5 Er 0.250 0.000 0.104 [4 per cell]
6 Tm 0.000 0.239 0.500 [4 per cell]
7 Tm 0.155 0.249 0.250 [8 per cell]
8 Tm 0.218 0.000 0.728 [4 per cell]
9 Tm 0.222 0.500 0.534 [4 per cell]



# 2
Below is a relaxed Tb5Er5Tm crystal, with properties calculated at the PBE level.

Computed properties:
calculated formation energy	284	meV per atom
spin magnetization	0.087	μB/atom
offset from the most stable computed form	133	meV/atom

Cell lengths 18.676, 5.868, 6.896 Å; angles 90.00, 111.55, 90.00 degrees
Space group C2/m (No. 12)
One atom of each set of equivalent atoms:
1 Tb 0.000 0.000 0.000 [2 per cell]
2 Tb 0.178 0.500 0.423 [4 per cell]
3 Tb 0.178 0.500 0.932 [4 per cell]
4 Er 0.000 0.500 0.500 [2 per cell]
5 Er 0.123 0.000 0.624 [4 per cell]
6 Er 0.169 0.000 0.170 [4 per cell]
7 Tm 0.000 0.500 0.000 [2 per cell]



# 3
Below is a relaxed Tb5Er3Tm2 crystal, with properties calculated at the PBE level.

Computed properties:
calculated formation energy	308	meV per atom
spin magnetization	0.000	μB/atom
offset from the most stable computed form	105	meV/atom

Cell lengths 12.080, 16.898, 6.250 Å; angles 90.00, 90.00, 90.00 degrees
Space group Ibam (No. 72)
One atom of each set of equivalent atoms:
1 Tb 0.000 0.000 0.250 [4 per cell]
2 Tb 0.249 0.500 0.250 [8 per cell]
3 Tb 0.250 0.176 0.000 [8 per cell]
4 Er 0.000 0.500 0.250 [4 per cell]
5 Er 0.086 0.167 0.500 [8 per cell]
6 Tm 0.086 0.334 0.000 [8 per cell]



# 4
Below is a relaxed TbErTm2 crystal, with properties calculated at the PBE level.

Computed properties:
calculated formation energy	24	meV per atom
spin magnetization	0.000	μB/atom
offset from the most stable computed form	23	meV/atom

Cell lengths 4.958, 4.958, 4.950 Å; angles 90.00, 90.00, 90.00 degrees
Space group P4/mmm (No. 123)
One atom of each set of equivalent atoms:
1 Tb 0.000 0.000 0.000 [1 per cell]
2 Er 0.500 0.500 0.000 [1 per cell]
3 Tm 0.000 0.500 0.500 [2 per cell]



# 5
Below is a relaxed Tb6Er19Tm4 crystal, with properties calculated at the PBE level.

Computed properties:
calculated formation energy	385	meV per atom
spin magnetization	0.000	μB/atom

Cell lengths 12.292, 12.292, 12.292 Å; angles 90.00, 90.00, 90.00 degrees
Space group I23 (No. 197)
One atom of each set of equivalent atoms:
1 Tb 0.000 0.128 0.500 [12 per cell]
2 Er 0.000 0.000 0.000 [2 per cell]
3 Er 0.000 0.000 0.260 [12 per cell]
4 Er 0.064 0.277 0.740 [24 per cell]
5 Tm 0.179 0.179 0.179 [8 per cell]



# 6
Below is a relaxed Tb5Er3Tm4 crystal, with properties calculated at the PBE level.

Computed properties:
calculated formation energy	21	meV per atom
spin magnetization	0.000	μB/atom
offset from the most stable computed form	0	meV/atom

Cell lengths 6.086, 7.037, 8.602 Å; angles 90.00, 89.94, 89.91 degrees
Space group P-1 (No. 2)
One atom of each set of equivalent atoms:
1 Tb 0.000 0.000 0.000 [1 per cell]
2 Tb 0.333 0.500 0.666 [2 per cell]
3 Tb 0.500 0.249 0.000 [2 per cell]
4 Er 0.000 0.500 0.000 [1 per cell]
5 Er 0.166 0.751 0.334 [2 per cell]
6 Tm 0.166 0.249 0.334 [2 per cell]
7 Tm 0.334 0.000 0.666 [2 per cell]